Computed, not measured: an optimized crystal structure of CoSiN2O at the PBE+U level of DFT.

Cell: 3.602 3.602 3.860 Å, 90.00 90.00 90.00°
Space group P4/mmm (No. 123)
Asymmetric unit:
Co (0.000, 0.000, 0.000)
Si (0.500, 0.500, 0.500)
N (0.000, 0.500, 0.000)
O (0.000, 0.000, 0.500)

Output
The uncorrected energy comes out at -26.77 eV for the cell shown. The calculated volume comes out at 10.01 Å³ per atom. The magnetic moment is 1.8 μB per cell.